Entry 1:
# Ba2SiMo | Alexandria | GGA-PBE | optimized geometry
# Uncorrected formation energy, meV/atom: 877
# Uncorrected energy, eV/atom: -4.148
# Mass density, Mg/m³: 5.840
data_Ba2SiMo
_symmetry_space_group_name_H-M 'P 4/m m m'
_symmetry_Int_Tables_number 123
_symmetry_space_group_name_Hall '-P 4 2'
_cell_length_a 3.3308
_cell_length_b 3.3308
_cell_length_c 10.2174
_cell_angle_alpha 90.00
_cell_angle_beta 90.00
_cell_angle_gamma 90.00
loop_
_atom_site_label
_atom_site_type_symbol
_atom_site_fract_x
_atom_site_fract_y
_atom_site_fract_z
Ba1 Ba 0.0000 0.0000 0.2395
Si1 Si 0.5000 0.5000 0.0000
Mo1 Mo 0.5000 0.5000 0.5000

Entry 2:
# Mo3PRu | Alexandria | GGA-PBE | optimized geometry
# Polymorph energy (0 for the lowest one), meV per atom: 0.0
# Uncorrected energy, eV/atom: -9.577
# Mass density, Mg/m³: 9.433
# Formation energy, eV per atom: -0.14
data_Mo3PRu
_symmetry_space_group_name_H-M 'P 1 21/c 1'
_symmetry_Int_Tables_number 14
_symmetry_space_group_name_Hall '-P 2ybc'
_cell_length_a 6.7776
_cell_length_b 5.2230
_cell_length_c 8.7450
_cell_angle_alpha 90.00
_cell_angle_beta 107.24
_cell_angle_gamma 90.00
loop_
_atom_site_label
_atom_site_type_symbol
_atom_site_fract_x
_atom_site_fract_y
_atom_site_fract_z
Mo1 Mo 0.0117 0.0303 0.1830
Mo2 Mo 0.2027 0.5093 0.0530
Mo3 Mo 0.3815 0.7121 0.8304
P1 P 0.2892 0.0023 0.0609
Ru1 Ru 0.3718 0.2197 0.8537

Entry 3:
# Ce4NdSi4 | Alexandria | GGA-PBE | optimized geometry
# Uncorrected formation energy, meV/atom: -383
# Uncorrected energy, eV/atom: -5.960
# Mass density, Mg/m³: 5.808
data_Ce4NdSi4
_symmetry_space_group_name_H-M 'P 42/n'
_symmetry_Int_Tables_number 86
_cell_length_a 8.7976
_cell_length_b 8.7976
_cell_length_c 6.0362
_cell_angle_alpha 90.00
_cell_angle_beta 90.00
_cell_angle_gamma 90.00
loop_
_symmetry_equiv_pos_as_xyz
'x,y,z'
'-x,-y,-z'
'-y,x+1/2,z+1/2'
'y,-x+1/2,-z+1/2'
'-x+1/2,-y+1/2,z'
'x+1/2,y+1/2,-z'
'y+1/2,-x,z+1/2'
'-y+1/2,x,-z+1/2'
loop_
_atom_site_label
_atom_site_type_symbol
_atom_site_fract_x
_atom_site_fract_y
_atom_site_fract_z
Ce1 Ce 0.0592 0.6386 0.0900
Nd1 Nd 0.2500 0.2500 0.2500
Si1 Si 0.0309 0.6178 0.5912

Entry 4:
# TbSmPtRh | Alexandria | GGA-PBE | optimized geometry
# Polymorph energy (0 for the lowest one), meV per atom: 44.0
# Uncorrected energy, eV/atom: -6.650
# Mass density, Mg/m³: 11.705
# Formation energy, eV per atom: -0.97
data_TbSmPtRh
_symmetry_space_group_name_H-M 'F -4 3 m'
_symmetry_Int_Tables_number 216
_symmetry_space_group_name_Hall 'F -4 2 3'
_cell_length_a 7.0109
_cell_length_b 7.0109
_cell_length_c 7.0109
_cell_angle_alpha 90.00
_cell_angle_beta 90.00
_cell_angle_gamma 90.00
loop_
_atom_site_label
_atom_site_type_symbol
_atom_site_fract_x
_atom_site_fract_y
_atom_site_fract_z
Tb1 Tb 0.0000 0.0000 0.0000
Sm1 Sm 0.0000 0.0000 0.5000
Pt1 Pt 0.2500 0.2500 0.7500
Rh1 Rh 0.2500 0.2500 0.2500

Entry 5:
# CsTlF3 | Alexandria | GGA-PBE | optimized geometry
# Uncorrected formation energy, meV/atom: -2144
# Uncorrected energy, eV/atom: -3.910
# Mass density, Mg/m³: 5.414
data_CsTlF3
_symmetry_space_group_name_H-M 'C 1 2/m 1'
_symmetry_Int_Tables_number 12
_symmetry_space_group_name_Hall '-C 2y'
_cell_length_a 13.6684
_cell_length_b 4.6449
_cell_length_c 7.6873
_cell_angle_alpha 90.00
_cell_angle_beta 97.62
_cell_angle_gamma 90.00
loop_
_atom_site_label
_atom_site_type_symbol
_atom_site_fract_x
_atom_site_fract_y
_atom_site_fract_z
Cs1 Cs 0.1249 0.0000 0.3854
Tl1 Tl 0.1320 0.5000 0.9227
F1 F 0.0394 0.5000 0.1802
F2 F 0.1625 0.5000 0.6344
F3 F 0.1654 0.0000 0.9706

Entry 6:
# Ac3La3Sm4 | Alexandria | GGA-PBE | optimized geometry
# Uncorrected energy, eV/atom: -4.520
# Mass density, Mg/m³: 7.274
# Formation energy, eV per atom: 0.08
data_Ac3La3Sm4
_symmetry_space_group_name_H-M 'A m m 2'
_symmetry_Int_Tables_number 38
_symmetry_space_group_name_Hall 'A 2 -2'
_cell_length_a 3.8412
_cell_length_b 14.1299
_cell_length_c 14.2937
_cell_angle_alpha 90.00
_cell_angle_beta 90.00
_cell_angle_gamma 90.00
loop_
_atom_site_label
_atom_site_type_symbol
_atom_site_fract_x
_atom_site_fract_y
_atom_site_fract_z
Ac1 Ac 0.0000 0.0000 0.0000
Ac2 Ac 0.5000 0.2496 0.0762
La1 La 0.0000 0.0000 0.6486
La2 La 0.0000 0.1752 0.3282
Sm1 Sm 0.5000 0.0000 0.2092
Sm2 Sm 0.5000 0.0000 0.4499
Sm3 Sm 0.5000 0.1231 0.8190

Entry 7:
# LiTeN2O | Alexandria | GGA-PBE | optimized geometry
# Uncorrected formation energy, meV/atom: 1654
# Uncorrected energy, eV/atom: -3.679
# Mass density, Mg/m³: 4.340
data_LiTeN2O
_symmetry_space_group_name_H-M 'P 4/m m m'
_symmetry_Int_Tables_number 123
_symmetry_space_group_name_Hall '-P 4 2'
_cell_length_a 4.0032
_cell_length_b 4.0032
_cell_length_c 4.2635
_cell_angle_alpha 90.00
_cell_angle_beta 90.00
_cell_angle_gamma 90.00
loop_
_atom_site_label
_atom_site_type_symbol
_atom_site_fract_x
_atom_site_fract_y
_atom_site_fract_z
Li1 Li 0.0000 0.0000 0.0000
Te1 Te 0.5000 0.5000 0.0000
N1 N 0.0000 0.5000 0.5000
O1 O 0.5000 0.5000 0.5000

Entry 8:
# GdYCuIr | Alexandria | GGA-PBE | optimized geometry
# Uncorrected energy, eV/atom: -8.925
# Mass density, Mg/m³: 9.985
# Formation energy, eV per atom: -0.55
data_GdYCuIr
_symmetry_space_group_name_H-M 'F -4 3 m'
_symmetry_Int_Tables_number 216
_symmetry_space_group_name_Hall 'F -4 2 3'
_cell_length_a 6.9374
_cell_length_b 6.9374
_cell_length_c 6.9374
_cell_angle_alpha 90.00
_cell_angle_beta 90.00
_cell_angle_gamma 90.00
loop_
_atom_site_label
_atom_site_type_symbol
_atom_site_fract_x
_atom_site_fract_y
_atom_site_fract_z
Gd1 Gd 0.0000 0.0000 0.0000
Y1 Y 0.0000 0.0000 0.5000
Cu1 Cu 0.2500 0.2500 0.7500
Ir1 Ir 0.2500 0.2500 0.2500

- What is the mass density in the first record?
  5.840 Mg/m³